1.
A plane-wave DFT calculation with PBE was carried out for an optimized crystal structure of Cu8GeP2.

Results
DFT formation energy in meV per atom: 21

Lattice parameters (Å, degrees): 4.2998 5.5162 6.9282 112.55 107.20 92.23
Fractional positions:
Cu (0.0000, 0.0000, 0.0000)
Cu (0.0000, 0.4929, 0.0222)
Cu (0.0136, 0.1238, 0.6492)
Cu (0.2069, 0.3988, 0.4185)
Cu (0.4379, 0.6287, 0.8797)
Cu (0.4903, 0.8871, 0.6486)
Cu (0.6265, 0.1209, 0.2770)
Cu (0.6478, 0.6481, 0.2969)
Ge (0.8370, 0.5534, 0.6492)
P (0.1564, 0.9162, 0.3264)
P (0.4810, 0.2382, 0.9711)

2.
A plane-wave DFT calculation with PBE was carried out for an optimized crystal structure of Cu3GeP.

Results
Offset from the most stable computed form in meV/atom: 509
DFT formation energy in meV per atom: 886

Lattice parameters (Å, degrees): 4.4861 4.4861 4.4861 90.00 90.00 90.00
Fractional positions:
Cu (0.0000, 0.0000, 0.5000)
Cu (0.0000, 0.5000, 0.0000)
Cu (0.5000, 0.0000, 0.0000)
Ge (0.0000, 0.0000, 0.0000)
P (0.5000, 0.5000, 0.5000)

3.
A plane-wave DFT calculation with PBE was carried out for an optimized crystal structure of CuGeP2.

Results
DFT formation energy in meV per atom: -42

Lattice parameters (Å, degrees): 5.3743 5.3743 10.5938 90.00 90.00 90.00
Fractional positions:
Cu (0.0000, 0.0000, 0.0000)
Cu (0.0000, 0.5000, 0.2500)
Cu (0.5000, 0.0000, 0.7500)
Cu (0.5000, 0.5000, 0.5000)
Ge (0.0000, 0.0000, 0.5000)
Ge (0.0000, 0.5000, 0.7500)
Ge (0.5000, 0.0000, 0.2500)
Ge (0.5000, 0.5000, 0.0000)
P (0.2346, 0.2500, 0.1250)
P (0.2500, 0.7346, 0.3750)
P (0.2500, 0.7654, 0.8750)
P (0.2654, 0.2500, 0.6250)
P (0.7346, 0.7500, 0.6250)
P (0.7500, 0.2346, 0.8750)
P (0.7500, 0.2654, 0.3750)
P (0.7654, 0.7500, 0.1250)